(1)
Ac3GaRh4 | GGA-PBE | optimized geometry

Cell lengths 4.3735, 5.9128, 15.6547 Å; angles 90.00, 90.00, 90.00 degrees
Space group Immm (No. 71)
Unique sites:
1 Ac 0.0000 0.0000 0.0000 [2 per cell]
2 Ac 0.0000 0.5000 0.1953 [4 per cell]
3 Ga 0.0000 0.0000 0.5000 [2 per cell]
4 Rh 0.0000 0.2719 0.3812 [8 per cell]

Summary:
VASP energy: -50.005 eV per formula unit
volume: 25.3 Å³ per atom
DOS at the Fermi energy: 0.3393 states/eV/atom
energy of formation: -656 meV per atom

=====

(2)
Ac4GaRh2 | GGA-PBE | optimized geometry

Cell lengths 14.4560, 4.5913, 8.0222 Å; angles 90.00, 119.54, 90.00 degrees
Space group C2/m (No. 12)
Unique sites:
1 Ac 0.1190 0.0000 0.3405 [4 per cell]
2 Ac 0.1532 0.5000 0.7904 [4 per cell]
3 Ga 0.0000 0.5000 0.0000 [2 per cell]
4 Rh 0.2081 0.5000 0.2152 [4 per cell]

Summary:
VASP energy: -37.847 eV per formula unit
volume: 33.1 Å³ per atom
DOS at the Fermi energy: 0.9436 states/eV/atom
energy of formation: -526 meV per atom
ΔE to the lowest computed polymorph: 0 meV/atom

=====

| no. | total moment (μB per formula unit) |
| --- | --- |
| 1 | 0.0 |
| 2 | 0.0 |